Record 1
4
Lattice="-0.572 3.837 -0.246 -1.561 -0.491 -4.020 -4.788 -2.544 2.169" Properties=species:S:1:pos:R:3 comment="PbAu meta-GGA SCAN single point on PBEsol structure" total_magnetization_mub_per_cell=0.00 dos_ef_per_ev_cell=1.58 volume_a3_per_cell=92.92 formation_enthalpy_0k_kj_per_mol_fu=-18 sg=Cmcm pbc="T T T"
Pb -2.946 1.367 -2.538
Au -1.246 -0.228 -0.660
Pb -3.976 -0.565 0.441
Au -5.675 1.030 -1.437

---

Record 2
5
Lattice="4.754 0.000 0.000 0.000 4.754 0.000 0.000 0.000 5.579" Properties=species:S:1:pos:R:3 comment="CsRbCaN2 meta-GGA SCAN single point on PBEsol structure" total_magnetization_mub_per_cell=2.00 dos_ef_per_ev_cell=2.10 volume_a3_per_cell=126.10 e_form_raw_ev_per_atom=0.809 sg=P4/mmm pbc="T T T"
Ca 0.000 0.000 0.000
Rb 2.377 2.377 2.790
Cs 0.000 0.000 2.790
N 2.377 0.000 0.000
N 0.000 2.377 0.000

---

Record 3
5
Lattice="-4.643 2.621 0.621 -2.629 -4.679 0.089 0.585 -0.227 5.331" Properties=species:S:1:pos:R:3 comment="Ca3SnPd meta-GGA SCAN single point on PBEsol structure" total_magnetization_mub_per_cell=0.20 dos_ef_per_ev_cell=2.52 volume_a3_per_cell=154.67 formation_enthalpy_0k_kj_per_mol_fu=-230 sg=Pm-3m pbc="T T T"
Sn -3.344 -1.142 3.021
Pd 0.000 0.000 0.000
Ca -1.315 -2.339 0.045
Ca -2.322 1.311 0.311
Ca 0.293 -0.114 2.666